Ba5As | PBE | optimized geometry

Output
The value obtained for the theoretical density is 3.82 Mg/m³. The value obtained for the total magnetic moment is 0.000 μB per atom. The value obtained for the energy above the most stable polymorph in this dataset is 765.4 meV per atom. The value obtained for the formation energy is 0.412 eV/atom.

The structure in CIF format:
```
data_Ba5As
_symmetry_space_group_name_H-M 'P 6/m m m'
_symmetry_Int_Tables_number 191
_symmetry_space_group_name_Hall '-P 6 2'
_cell_length_a 7.2134
_cell_length_b 7.2134
_cell_length_c 7.3449
_cell_angle_alpha 90.00
_cell_angle_beta 90.00
_cell_angle_gamma 120.00
loop_
_atom_site_label
_atom_site_fract_x
_atom_site_fract_y
_atom_site_fract_z
Ba1 0.0000 0.5000 0.0000
Ba2 0.3333 0.6667 0.5000
As1 0.0000 0.0000 0.5000
```